Entry 1:
First-principles (GGA-PBE) data for an optimized crystal structure of La5Os, as listed in Alexandria via LeMat-Bulk.

a = 5.985 Å, b = 5.985 Å, c = 6.137 Å
α = 90.00°, β = 90.00°, γ = 120.00°
Element x y z (fractional)
1 La 0.000 0.500 0.000
2 La 0.333 0.667 0.500
3 La 0.500 0.000 0.000
4 La 0.500 0.500 0.000
5 La 0.667 0.333 0.500
6 Os 0.000 0.000 0.500

symmetry: P6/mmm, No. 191
energy of formation: 0.96 eV/atom
Fermi-level density of states: 11.5 states/eV per cell
crystal system: hexagonal
energy above the most stable polymorph in this dataset: 958 meV per atom
total magnetic moment: 0.00 μB per atom

Entry 2:
First-principles (GGA-PBE) data for an optimized crystal structure of RbCd3Pt, as listed in Alexandria via LeMat-Bulk.

a = 7.139 Å, b = 7.151 Å, c = 7.437 Å
α = 111.95°, β = 97.95°, γ = 117.58°
Element x y z (fractional)
1 Rb 0.000 0.000 0.000
2 Rb 0.394 0.316 0.574
3 Cd 0.065 0.615 0.510
4 Cd 0.277 0.685 0.214
5 Cd 0.415 0.836 0.927
6 Cd 0.730 0.347 0.080
7 Cd 0.750 0.774 0.386
8 Cd 0.951 0.380 0.773
9 Pt 0.544 0.949 0.636
10 Pt 0.705 0.125 0.345

symmetry: P1, No. 1
energy of formation: -0.16 eV/atom
Fermi-level density of states: 3.4 states/eV per cell
crystal system: triclinic
energy above the most stable polymorph in this dataset: 94 meV per atom
total magnetic moment: 0.00 μB per atom

Entry 3:
First-principles (GGA-PBE) data for an optimized crystal structure of CrTcCl2, as listed in Alexandria via LeMat-Bulk.

a = 9.786 Å, b = 9.786 Å, c = 9.786 Å
α = 17.90°, β = 17.90°, γ = 17.90°
Element x y z (fractional)
1 Cr 0.000 0.000 0.000
2 Tc 0.500 0.500 0.500
3 Cl 0.279 0.279 0.279
4 Cl 0.721 0.721 0.721

symmetry: R-3m, No. 166
Fermi-level density of states: 2.4 states/eV per cell
crystal system: trigonal
energy above the most stable polymorph in this dataset: 693 meV per atom
total magnetic moment: 1.25 μB per atom
energy relative to the elements, uncorrected: 502 meV per atom

Entry 4:
First-principles (GGA-PBE) data for an optimized crystal structure of Ba8HgPt2Rh, as listed in Alexandria via LeMat-Bulk.

a = 7.529 Å, b = 9.545 Å, c = 7.730 Å
α = 90.00°, β = 90.88°, γ = 90.00°
Element x y z (fractional)
1 Ba 0.211 0.000 0.343
2 Ba 0.233 0.500 0.320
3 Ba 0.268 0.271 0.822
4 Ba 0.268 0.729 0.822
5 Ba 0.732 0.271 0.178
6 Ba 0.732 0.729 0.178
7 Ba 0.767 0.500 0.680
8 Ba 0.789 0.000 0.657
9 Hg 0.500 0.000 0.000
10 Pt 0.000 0.256 0.500
11 Pt 0.000 0.744 0.500
12 Rh 0.500 0.500 0.000

symmetry: P2/m, No. 10
energy of formation: -0.44 eV/atom
Fermi-level density of states: 6.1 states/eV per cell
crystal system: monoclinic
total magnetic moment: 0.00 μB per atom

Entry 5:
First-principles (GGA-PBE) data for an optimized crystal structure of Tm3MnTl3Te8, as listed in Alexandria via LeMat-Bulk.

a = 9.630 Å, b = 9.630 Å, c = 9.630 Å
α = 53.00°, β = 53.00°, γ = 53.00°
Element x y z (fractional)
1 Tm 0.000 0.500 0.500
2 Tm 0.500 0.000 0.500
3 Tm 0.500 0.500 0.000
4 Mn 0.000 0.000 0.000
5 Tl 0.000 0.000 0.500
6 Tl 0.000 0.500 0.000
7 Tl 0.500 0.000 0.000
8 Te 0.220 0.220 0.757
9 Te 0.220 0.757 0.220
10 Te 0.243 0.780 0.780
11 Te 0.262 0.262 0.262
12 Te 0.738 0.738 0.738
13 Te 0.757 0.220 0.220
14 Te 0.780 0.243 0.780
15 Te 0.780 0.780 0.243

symmetry: R-3m, No. 166
Fermi-level density of states: 3.8 states/eV per cell
crystal system: trigonal
total magnetic moment: 0.22 μB per atom
energy relative to the elements, uncorrected: -802 meV per atom

Entry 6:
First-principles (GGA-PBE) data for an optimized crystal structure of CePm2Pb3, as listed in Alexandria via LeMat-Bulk.

a = 9.344 Å, b = 9.344 Å, c = 6.892 Å
α = 90.00°, β = 90.00°, γ = 143.19°
Element x y z (fractional)
1 Ce 0.165 0.835 0.000
2 Ce 0.835 0.165 0.000
3 Pm 0.167 0.833 0.500
4 Pm 0.500 0.500 0.000
5 Pm 0.500 0.500 0.500
6 Pm 0.833 0.167 0.500
7 Pb 0.000 0.000 0.254
8 Pb 0.000 0.000 0.746
9 Pb 0.333 0.667 0.253
10 Pb 0.333 0.667 0.747
11 Pb 0.667 0.333 0.253
12 Pb 0.667 0.333 0.747

symmetry: Cmmm, No. 65
energy of formation: -0.45 eV/atom
Fermi-level density of states: 17.5 states/eV per cell
crystal system: orthorhombic
energy above the most stable polymorph in this dataset: 0 meV per atom
total magnetic moment: 0.31 μB per atom